Entry 1:
# ZnRuSe2

A relaxed ZnRuSe2 crystal (PBE, the Alexandria database).

abc: 3.685 5.313 5.620
angles: 53.62 90.00 90.00
Fractional positions:
1 Ru 0.500 0.750 0.750
2 Se 0.000 0.931 0.900
3 Se 0.000 0.569 0.600
4 Zn 0.500 0.250 0.250

For the size of the total moment, the calculation gives 0.000 μB per atom. As for the space group: P2/m (10). The value obtained for the density is 6.08 g/cm3. The value obtained for the uncorrected energy is -4.377 eV per atom.

***

Entry 2:
# BaRuCl2

A relaxed BaRuCl2 crystal (PBE, the Alexandria database).

abc: 4.942 4.952 4.009
angles: 90.00 90.00 90.00
Each line ends with the local moment (μB).
Fractional positions:
1 Ru 0.500 0.000 0.500  2.15
2 Ba 0.000 0.500 0.500  -0.03
3 Cl 0.000 0.000 0.000  0.04
4 Cl 0.500 0.500 0.000  0.04

The energy above the most stable polymorph in this dataset comes out at 317.3 meV/atom. For the size of the total moment, the calculation gives 0.602 μB per atom. As for the space group: Pmmm (47). The value obtained for the density is 5.24 g/cm3.

***

Entry 3:
# MgBr

A relaxed MgBr crystal (PBE, the Alexandria database).

abc: 4.086 7.306 4.085
angles: 90.00 90.00 90.00
Fractional positions:
1 Br 0.000 0.000 0.156
2 Br 0.000 0.500 0.177
3 Mg 0.500 0.000 0.656
4 Mg 0.500 0.500 0.677

For the size of the total moment, the calculation gives 0.000 μB per atom. As for the space group: Pmma (51). The value obtained for the density is 2.84 g/cm3. The value obtained for the uncorrected energy is -2.151 eV per atom.

***

Entry 4:
# Na3PaCu2O9

A relaxed Na3PaCu2O9 crystal (PBE, the Alexandria database).

abc: 5.527 5.527 7.039
angles: 90.00 90.00 120.00
Each line ends with the local moment (μB).
Fractional positions:
1 Na 0.333 0.667 0.726  0.00
2 Na 0.000 0.000 0.000  0.00
3 Na 0.667 0.333 0.274  0.00
4 Pa 0.000 0.000 0.500  -0.03
5 Cu 0.333 0.667 0.162  -0.01
6 Cu 0.667 0.333 0.838  -0.01
7 O 0.828 0.172 0.681  0.04
8 O 0.828 0.657 0.681  0.04
9 O 0.343 0.172 0.681  0.04
10 O 0.657 0.828 0.319  0.04
11 O 0.172 0.343 0.319  0.04
12 O 0.172 0.828 0.319  0.04
13 O 0.500 0.000 0.000  0.41
14 O 0.000 0.500 0.000  0.41
15 O 0.500 0.500 0.000  0.41

For the size of the total moment, the calculation gives 0.111 μB per atom. As for the space group: P-3m1 (164). The value obtained for the density is 5.09 g/cm3. The value obtained for the uncorrected energy is -5.671 eV per atom.

***

Entry 5:
# TcAg3O

A relaxed TcAg3O crystal (PBE, the Alexandria database).

abc: 4.451 4.451 4.451
angles: 90.00 90.00 90.00
Each line ends with the local moment (μB).
Fractional positions:
1 O 0.000 0.000 0.000  0.16
2 Tc 0.500 0.500 0.500  3.12
3 Ag 0.000 0.500 0.000  0.05
4 Ag 0.000 0.000 0.500  0.04
5 Ag 0.500 0.000 0.000  0.10

The energy above the most stable polymorph in this dataset comes out at 0.0 meV/atom. For the size of the total moment, the calculation gives 0.775 μB per atom. As for the space group: Pm-3m (221). The value obtained for the density is 8.24 g/cm3.

***

Entry 6:
# BaTcMo2

A relaxed BaTcMo2 crystal (PBE, the Alexandria database).

abc: 3.240 4.767 4.942
angles: 90.00 90.00 90.00
Fractional positions:
1 Ba 0.000 0.500 0.500
2 Mo 0.000 0.000 0.000
3 Mo 0.500 0.500 0.000
4 Tc 0.500 0.000 0.500

The energy above the most stable polymorph in this dataset comes out at 636.1 meV/atom. For the size of the total moment, the calculation gives 0.000 μB per atom. As for the space group: Pmmm (47). The value obtained for the density is 9.29 g/cm3.

***

Entry 7:
# Li4AcCe

A relaxed Li4AcCe crystal (PBE, the Alexandria database).

abc: 6.084 6.084 6.084
angles: 60.00 60.00 60.00
Each line ends with the local moment (μB).
Fractional positions:
1 Ac 0.000 0.000 0.000  0.12
2 Ce 0.250 0.250 0.250  1.10
3 Li 0.624 0.624 0.127  0.01
4 Li 0.624 0.127 0.624  0.01
5 Li 0.624 0.624 0.624  0.01
6 Li 0.127 0.624 0.624  0.01

For the size of the total moment, the calculation gives 0.318 μB per atom. As for the space group: F-43m (216). The value obtained for the density is 4.12 g/cm3. The value obtained for the uncorrected energy is -2.780 eV per atom.

***

Entry 8:
# Ag3Rh

A relaxed Ag3Rh crystal (PBE, the Alexandria database).

abc: 4.577 4.577 4.577
angles: 60.00 60.00 60.00
Fractional positions:
1 Ag 0.250 0.250 0.250
2 Ag 0.750 0.750 0.750
3 Ag 0.000 0.000 0.000
4 Rh 0.500 0.500 0.500

For the size of the total moment, the calculation gives 0.000 μB per atom. As for the space group: Fm-3m (225). The value obtained for the density is 10.45 g/cm3. The value obtained for the uncorrected energy is -3.734 eV per atom.